[1]
## YNiP2 (PBE)

Data for a relaxed YNiP2 crystal.

calculated total energy = -27.2 eV/cell
crystal system = tetragonal
DFT formation energy = -1.033 eV/atom
SG = I-4m2 (119)
DOS at the Fermi energy = 0.450 states/eV per atom

Unit cell a=5.339 b=5.339 c=5.339 alpha=138.08 beta=138.08 gamma=60.78
Sites, in units of the cell vectors:
Y 0.000 0.000 0.000
Ni 0.750 0.250 0.500
P 0.375 0.375 0.000
P 0.625 0.625 0.000

***

[2]
## YNi2P3 (PBE)

Data for a relaxed YNi2P3 crystal.

calculated total energy = -112.2 eV/cell
crystal system = hexagonal
DFT formation energy = -0.523 eV/atom
SG = P6/mmm (191)
DOS at the Fermi energy = 0.491 states/eV per atom

Unit cell a=9.204 b=9.204 c=3.592 alpha=90.00 beta=90.00 gamma=120.00
Sites, in units of the cell vectors:
Y 0.000 0.000 0.000
Y 0.333 0.667 0.500
Y 0.667 0.333 0.500
Ni 0.000 0.283 0.500
Ni 0.000 0.717 0.500
Ni 0.283 0.000 0.500
Ni 0.283 0.283 0.500
Ni 0.717 0.000 0.500
Ni 0.717 0.717 0.500
P 0.000 0.500 0.000
P 0.190 0.380 0.000
P 0.190 0.810 0.000
P 0.380 0.190 0.000
P 0.500 0.000 0.000
P 0.500 0.500 0.000
P 0.620 0.810 0.000
P 0.810 0.190 0.000
P 0.810 0.620 0.000

***

[3]
## Y3Ni2P13 (PBE)

Data for a relaxed Y3Ni2P13 crystal.

calculated total energy = -102.9 eV/cell
crystal system = orthorhombic
DFT formation energy = -0.087 eV/atom
SG = Cmmm (65)
DOS at the Fermi energy = 0.357 states/eV per atom

Unit cell a=5.231 b=5.231 c=13.081 alpha=90.00 beta=90.00 gamma=119.21
Sites, in units of the cell vectors:
Y 0.000 0.000 0.000
Y 0.000 0.000 0.273
Y 0.000 0.000 0.727
Ni 0.335 0.665 0.000
Ni 0.665 0.335 0.000
P 0.000 0.500 0.136
P 0.000 0.500 0.500
P 0.000 0.500 0.864
P 0.333 0.667 0.358
P 0.333 0.667 0.642
P 0.500 0.000 0.136
P 0.500 0.000 0.500
P 0.500 0.000 0.864
P 0.500 0.500 0.137
P 0.500 0.500 0.500
P 0.500 0.500 0.863
P 0.667 0.333 0.358
P 0.667 0.333 0.642

***

[4]
## YNiP2 (PBE)

Data for a relaxed YNiP2 crystal.

calculated total energy = -26.2 eV/cell
crystal system = monoclinic
DFT formation energy = -0.773 eV/atom
SG = C2/m (12)
DOS at the Fermi energy = 0.553 states/eV per atom

Unit cell a=4.285 b=4.285 c=5.894 alpha=121.57 beta=121.57 gamma=53.01
Sites, in units of the cell vectors:
Y 0.000 0.000 0.000
Ni 0.500 0.500 0.500
P 0.183 0.183 0.684
P 0.817 0.817 0.316

***

[5]
## Y2ZnNi12P3 (PBE)

Data for a relaxed Y2ZnNi12P3 crystal.

calculated total energy = -102.8 eV/cell
crystal system = trigonal
DFT formation energy = -0.165 eV/atom
SG = R-3m (166)
DOS at the Fermi energy = 0.848 states/eV per atom

Unit cell a=6.261 b=6.261 c=6.261 alpha=84.95 beta=84.95 gamma=84.95
Sites, in units of the cell vectors:
Y 0.157 0.157 0.157
Y 0.843 0.843 0.843
Zn 0.500 0.500 0.500
Ni 0.121 0.121 0.606
Ni 0.121 0.606 0.121
Ni 0.192 0.678 0.678
Ni 0.322 0.322 0.808
Ni 0.322 0.808 0.322
Ni 0.394 0.879 0.879
Ni 0.606 0.121 0.121
Ni 0.678 0.192 0.678
Ni 0.678 0.678 0.192
Ni 0.808 0.322 0.322
Ni 0.879 0.394 0.879
Ni 0.879 0.879 0.394
P 0.000 0.500 0.500
P 0.500 0.000 0.500
P 0.500 0.500 0.000

***

[6]
## Zn2NiP (PBE)

Data for a relaxed Zn2NiP crystal.

calculated total energy = -13.5 eV/cell
crystal system = monoclinic
DFT formation energy = 0.052 eV/atom
SG = P2/m (10)
DOS at the Fermi energy = 0.505 states/eV per atom

Unit cell a=2.683 b=4.765 c=4.275 alpha=90.00 beta=95.60 gamma=90.00
Sites, in units of the cell vectors:
Zn 0.230 0.000 0.256
Zn 0.770 0.000 0.744
Ni 0.500 0.500 0.500
P 0.000 0.500 0.000

***

[7]
## ZnNi2P (PBE)

Data for a relaxed ZnNi2P crystal.

offset from the most stable computed form = 20.6 kJ per mole of atoms
calculated total energy = -18.9 eV/cell
crystal system = monoclinic
DFT formation energy = -0.161 eV/atom
SG = C2/m (12)
DOS at the Fermi energy = 0.689 states/eV per atom

Unit cell a=3.956 b=3.956 c=4.881 alpha=100.46 beta=100.46 gamma=40.45
Sites, in units of the cell vectors:
Zn 0.000 0.000 0.000
Ni 0.240 0.240 0.719
Ni 0.760 0.760 0.281
P 0.500 0.500 0.500

***

[8]
## Zn2NiP (PBE)

Data for a relaxed Zn2NiP crystal.

calculated total energy = -26.7 eV/cell
crystal system = tetragonal
DFT formation energy = 0.098 eV/atom
SG = I-42d (122)
DOS at the Fermi energy = 0.471 states/eV per atom

Unit cell a=9.162 b=9.162 c=9.162 alpha=157.37 beta=157.37 gamma=32.22
Sites, in units of the cell vectors:
Zn 0.117 0.625 0.992
Zn 0.375 0.367 0.492
Zn 0.633 0.125 0.008
Zn 0.875 0.883 0.508
Ni 0.000 0.000 0.000
Ni 0.750 0.250 0.500
P 0.250 0.750 0.500
P 0.500 0.500 0.000

***

[9]
## ZnNi2P (PBE)

Data for a relaxed ZnNi2P crystal.

offset from the most stable computed form = 16.5 kJ per mole of atoms
calculated total energy = -19.1 eV/cell
crystal system = monoclinic
DFT formation energy = -0.204 eV/atom
SG = Cm (8)
DOS at the Fermi energy = 0.340 states/eV per atom

Unit cell a=4.416 b=4.416 c=4.009 alpha=105.91 beta=105.91 gamma=40.32
Sites, in units of the cell vectors:
Zn 0.000 0.000 0.000
Ni 0.249 0.249 0.809
Ni 0.476 0.476 0.475
P 0.757 0.757 0.383

***

[10]
## Zn2NiP (PBE)

Data for a relaxed Zn2NiP crystal.

calculated total energy = -13.9 eV/cell
crystal system = orthorhombic
DFT formation energy = -0.035 eV/atom
SG = Pmm2 (25)
DOS at the Fermi energy = 0.423 states/eV per atom

Unit cell a=2.730 b=3.422 c=5.974 alpha=90.00 beta=90.00 gamma=90.00
Sites, in units of the cell vectors:
Zn 0.000 0.000 0.000
Zn 0.500 0.500 0.259
Ni 0.000 0.000 0.545
P 0.500 0.500 0.683

***

[11]
## ZnNi2P (PBE)

Data for a relaxed ZnNi2P crystal.

offset from the most stable computed form = 17.7 kJ per mole of atoms
calculated total energy = -19.0 eV/cell
crystal system = orthorhombic
DFT formation energy = -0.191 eV/atom
SG = Immm (71)
DOS at the Fermi energy = 0.468 states/eV per atom

Unit cell a=4.257 b=4.257 c=4.257 alpha=130.35 beta=122.25 gamma=79.57
Sites, in units of the cell vectors:
Zn 0.000 0.000 0.000
Ni 0.290 0.790 0.500
Ni 0.710 0.210 0.500
P 0.500 0.500 0.000

***

[12]
## ZnNi3P2 (PBE)

Data for a relaxed ZnNi3P2 crystal.

calculated total energy = -30.6 eV/cell
crystal system = trigonal
DFT formation energy = -0.200 eV/atom
SG = P-3m1 (164)
DOS at the Fermi energy = 0.605 states/eV per atom

Unit cell a=3.924 b=3.924 c=5.562 alpha=90.00 beta=90.00 gamma=120.00
Sites, in units of the cell vectors:
Zn 0.000 0.000 0.000
Ni 0.000 0.000 0.500
Ni 0.333 0.667 0.295
Ni 0.667 0.333 0.705
P 0.333 0.667 0.720
P 0.667 0.333 0.280

***

Q: DFT formation energy of number 9 (ZnNi2P)?
A: -0.204 eV/atom